<w>
Entry from Alexandria: a relaxed SmZr2Ti crystal (GGA-PBE).

Summary:
The volume comes out at 24.20 Å³ per atom. As for the density of states at the Fermi level: 1.43 states/eV/atom.

CIF file:
```
data_SmZr2Ti
_symmetry_space_group_name_H-M 'R -3 m'
_symmetry_Int_Tables_number 166
_symmetry_space_group_name_Hall '-R 3 2"'
_cell_length_a 3.1681
_cell_length_b 3.1681
_cell_length_c 33.4067
_cell_angle_alpha 90.00
_cell_angle_beta 90.00
_cell_angle_gamma 120.00
loop_
_atom_site_label
_atom_site_type_symbol
_atom_site_fract_x
_atom_site_fract_y
_atom_site_fract_z
Sm1 Sm 0.0000 0.0000 0.0000
Zr1 Zr 0.0000 0.0000 0.0960
Ti1 Ti 0.0000 0.0000 0.5000
```


<x>
Entry from Alexandria: a relaxed SmZr2Ti crystal (GGA-PBE).

Summary:
The volume comes out at 23.79 Å³ per atom. As for the density of states at the Fermi level: 1.69 states/eV/atom.

CIF file:
```
data_SmZr2Ti
_symmetry_space_group_name_H-M 'R 3 m'
_symmetry_Int_Tables_number 160
_symmetry_space_group_name_Hall 'R 3 -2"'
_cell_length_a 3.2264
_cell_length_b 3.2264
_cell_length_c 31.6641
_cell_angle_alpha 90.00
_cell_angle_beta 90.00
_cell_angle_gamma 120.00
loop_
_atom_site_label
_atom_site_type_symbol
_atom_site_fract_x
_atom_site_fract_y
_atom_site_fract_z
Sm1 Sm 0.0000 0.0000 0.0000
Zr1 Zr 0.0000 0.0000 0.5754
Zr2 Zr 0.0000 0.0000 0.7593
Ti1 Ti 0.0000 0.0000 0.1675
```


Least stable structure: <w>